Record 1
Here is crystalline TbYCoAg at its relaxed geometry from the Alexandria database. Energies are from PBE-GGA.

## Properties
Space-group type: No. 216
Energy relative to the elements (kcal/mol of atoms): -3.88
Energy (eV/cell): -21.7
N(E_F) (states/eV per cell): 3.003

a b c (Å): 4.962 4.962 4.962
angles (deg): 60.00 60.00 60.00
Fractional coordinates of all 4 atoms:
1 Y 0.000 0.000 0.000
2 Co 0.250 0.250 0.250
3 Tb 0.500 0.500 0.500
4 Ag 0.750 0.750 0.750

Record 2
Here is crystalline CoTc2Ag at its relaxed geometry from the Alexandria database. Energies are from PBE-GGA.

## Properties
Space-group type: No. 139
Energy relative to the elements (kcal/mol of atoms): 10.98
Energy (eV/cell): -28.8
Relative energy among the computed polymorphs (eV per atom): 0.224
N(E_F) (states/eV per cell): 4.508

a b c (Å): 4.904 4.904 4.904
angles (deg): 135.57 135.57 64.64
Fractional coordinates of all 4 atoms:
1 Ag 0.250 0.750 0.500
2 Co 0.750 0.250 0.500
3 Tc 0.000 0.000 0.000
4 Tc 0.500 0.500 0.000